# VCl2F5 (GGA+U, optimized geometry)
data_VCl2F5
_chemical_formula_sum 'V1 Cl2 F5'
_space_group_name_H-M_alt 'P 1'
_space_group_IT_number 1
_cell_length_a 4.986
_cell_length_b 5.885
_cell_length_c 7.038
_cell_angle_alpha 81.16
_cell_angle_beta 72.20
_cell_angle_gamma 66.04
loop_
_space_group_symop_operation_xyz
'x,y,z'
loop_
_atom_site_label
_atom_site_fract_x
_atom_site_fract_y
_atom_site_fract_z
V1 0.000 0.000 0.000
Cl1 0.356 0.420 0.506
Cl2 0.661 0.574 0.466
F1 0.018 0.049 0.741
F2 0.026 0.288 0.001
F3 0.321 0.723 0.948
F4 0.638 0.990 0.052
F5 0.985 0.951 0.259
# E_tot: -4.38 eV/atom
# V: 22.4 Å³ per atom